Record 1
Here is crystalline Li2CaW at its relaxed geometry from Alexandria via LeMat-Bulk. Energies are from PBE-GGA.

a b c (Å): 2.881 2.881 9.541
angles (deg): 90.00 90.00 90.00
Fractional coordinates of all 4 atoms:
Ca1 0.500 0.500 0.729
Li1 0.500 0.500 0.264
Li2 0.000 0.000 0.030
W1 0.000 0.000 0.477

Values from the calculation:
The energy of formation comes out at 0.56 eV/atom. The space-group type is P4mm. The value obtained for the energy is -16.56 eV/cell. The calculation puts the polymorph energy (0 for the lowest one) at 0.00 kJ per mole of atoms.

Record 2
Here is crystalline LiCaW at its relaxed geometry from Alexandria via LeMat-Bulk. Energies are from PBE-GGA.

a b c (Å): 2.957 2.957 8.057
angles (deg): 90.00 90.00 120.00
Fractional coordinates of all 3 atoms:
W1 0.333 0.667 0.658
Ca1 0.000 0.000 0.981
Li1 0.667 0.333 0.361

Values from the calculation:
The energy of formation comes out at 0.80 eV/atom. The space-group type is P3m1. The value obtained for the energy is -14.47 eV/cell. The calculation puts the polymorph energy (0 for the lowest one) at 6.83 kJ per mole of atoms.

Record 3
Here is crystalline Li2CaW at its relaxed geometry from Alexandria via LeMat-Bulk. Energies are from PBE-GGA.

a b c (Å): 10.919 10.919 10.919
angles (deg): 15.42 15.42 15.42
Fractional coordinates of all 4 atoms:
Li1 0.991 0.991 0.991
Li2 0.509 0.509 0.509
Ca1 0.750 0.750 0.750
W1 0.250 0.250 0.250

Values from the calculation:
The energy of formation comes out at 0.74 eV/atom. The space-group type is R-3m. The value obtained for the energy is -15.81 eV/cell. The calculation puts the polymorph energy (0 for the lowest one) at 18.01 kJ per mole of atoms.

Record 4
Here is crystalline Li2CaW at its relaxed geometry from Alexandria via LeMat-Bulk. Energies are from PBE-GGA.

a b c (Å): 4.936 2.663 5.861
angles (deg): 81.94 90.00 90.00
Fractional coordinates of all 4 atoms:
Li1 0.000 0.083 0.014
Li2 0.500 0.081 0.273
Ca1 0.500 0.865 0.741
W1 0.000 0.471 0.472

Values from the calculation:
The energy of formation comes out at 0.70 eV/atom. The space-group type is Pm. The value obtained for the energy is -15.98 eV/cell. The calculation puts the polymorph energy (0 for the lowest one) at 13.95 kJ per mole of atoms.

Record 5
Here is crystalline Li2CaW at its relaxed geometry from Alexandria via LeMat-Bulk. Energies are from PBE-GGA.

a b c (Å): 5.280 5.280 5.568
angles (deg): 80.28 80.28 30.00
Fractional coordinates of all 4 atoms:
Ca1 0.251 0.251 0.251
Li1 0.745 0.745 0.728
Li2 0.014 0.014 0.993
W1 0.491 0.491 0.527

Values from the calculation:
The energy of formation comes out at 0.75 eV/atom. The space-group type is Cm. The value obtained for the energy is -15.79 eV/cell. The calculation puts the polymorph energy (0 for the lowest one) at 18.35 kJ per mole of atoms.

Record 6
Here is crystalline Li2CaW at its relaxed geometry from Alexandria via LeMat-Bulk. Energies are from PBE-GGA.

a b c (Å): 2.836 2.836 9.569
angles (deg): 90.00 90.00 90.22
Fractional coordinates of all 4 atoms:
W1 0.500 0.500 0.250
Li1 0.000 0.000 0.036
Li2 0.000 0.000 0.464
Ca1 0.500 0.500 0.750

Values from the calculation:
The energy of formation comes out at 0.69 eV/atom. The space-group type is Cmmm. The value obtained for the energy is -16.00 eV/cell. The calculation puts the polymorph energy (0 for the lowest one) at 13.28 kJ per mole of atoms.

Record 7
Here is crystalline LiCaW at its relaxed geometry from Alexandria via LeMat-Bulk. Energies are from PBE-GGA.

a b c (Å): 5.993 5.993 5.993
angles (deg): 153.45 141.60 47.29
Fractional coordinates of all 3 atoms:
Ca1 0.999 0.999 0.000
W1 0.690 0.690 0.000
Li1 0.311 0.311 0.000

Values from the calculation:
The energy of formation comes out at 0.92 eV/atom. The space-group type is Imm2. The value obtained for the energy is -14.10 eV/cell. The calculation puts the polymorph energy (0 for the lowest one) at 18.86 kJ per mole of atoms.

Record 8
Here is crystalline Li2CaW at its relaxed geometry from Alexandria via LeMat-Bulk. Energies are from PBE-GGA.

a b c (Å): 2.750 5.340 5.543
angles (deg): 90.00 90.00 90.00
Fractional coordinates of all 4 atoms:
W1 0.500 0.000 0.500
Ca1 0.000 0.500 0.500
Li1 0.500 0.500 0.000
Li2 0.000 0.000 0.000

Values from the calculation:
The energy of formation comes out at 0.82 eV/atom. The space-group type is Pmmm. The value obtained for the energy is -15.49 eV/cell. The calculation puts the polymorph energy (0 for the lowest one) at 25.60 kJ per mole of atoms.

Record 9
Here is crystalline Li2CaW at its relaxed geometry from Alexandria via LeMat-Bulk. Energies are from PBE-GGA.

a b c (Å): 4.972 4.972 4.972
angles (deg): 60.00 60.00 60.00
Fractional coordinates of all 4 atoms:
W1 0.750 0.750 0.750
Li1 0.250 0.250 0.250
Li2 0.000 0.000 0.000
Ca1 0.500 0.500 0.500

Values from the calculation:
The energy of formation comes out at 1.04 eV/atom. The space-group type is F-43m. The value obtained for the energy is -14.64 eV/cell. The calculation puts the polymorph energy (0 for the lowest one) at 46.28 kJ per mole of atoms.

Record 10
Here is crystalline Li2CaW at its relaxed geometry from Alexandria via LeMat-Bulk. Energies are from PBE-GGA.

a b c (Å): 5.310 5.310 5.689
angles (deg): 85.81 85.81 30.01
Fractional coordinates of all 4 atoms:
Li1 0.008 0.008 0.949
Li2 0.492 0.492 0.551
W1 0.750 0.750 0.750
Ca1 0.250 0.250 0.250

Values from the calculation:
The energy of formation comes out at 0.69 eV/atom. The space-group type is C2/m. The value obtained for the energy is -16.01 eV/cell. The calculation puts the polymorph energy (0 for the lowest one) at 13.18 kJ per mole of atoms.

Record 11
Here is crystalline Li2CaW at its relaxed geometry from Alexandria via LeMat-Bulk. Energies are from PBE-GGA.

a b c (Å): 5.534 5.534 5.534
angles (deg): 136.03 136.03 63.94
Fractional coordinates of all 4 atoms:
Li1 0.000 0.000 0.000
Li2 0.250 0.750 0.500
Ca1 0.750 0.250 0.500
W1 0.500 0.500 0.000

Values from the calculation:
The energy of formation comes out at 0.99 eV/atom. The space-group type is I-4m2. The value obtained for the energy is -14.82 eV/cell. The calculation puts the polymorph energy (0 for the lowest one) at 41.77 kJ per mole of atoms.

Record 12
Here is crystalline LiCa3W at its relaxed geometry from Alexandria via LeMat-Bulk. Energies are from PBE-GGA.

a b c (Å): 5.245 5.245 5.245
angles (deg): 90.00 90.00 90.00
Fractional coordinates of all 5 atoms:
Ca1 0.500 0.000 0.000
Ca2 0.000 0.500 0.000
Ca3 0.000 0.000 0.500
W1 0.500 0.500 0.500
Li1 0.000 0.000 0.000

Values from the calculation:
The energy of formation comes out at 1.36 eV/atom. The space-group type is Pm-3m. The value obtained for the energy is -14.07 eV/cell. The calculation puts the polymorph energy (0 for the lowest one) at 41.46 kJ per mole of atoms.